1.
Cu3Pt5Rh2: optimized geometry, PBE-GGA.

Summary:
- Formation energy: 0.349 eV per atom
- M_tot: 3.10 μB/f.u.
- Symmetry: Ibam (72)

Unit cell a=5.220 b=8.318 c=8.318 alpha=93.84 beta=71.71 gamma=71.71
Each line ends with the local moment (μB).
Sites, in units of the cell vectors:
Cu 0.349 0.501 0.802  0.09
Cu 0.849 0.802 0.501  0.09
Cu 0.651 0.499 0.198  0.09
Cu 0.151 0.198 0.499  0.09
Cu 0.250 0.000 0.000  0.05
Cu 0.750 0.000 0.000  0.05
Pt 0.413 0.248 0.926  0.25
Pt 0.913 0.926 0.248  0.25
Pt 0.587 0.752 0.074  0.25
Pt 0.087 0.074 0.752  0.25
Pt 0.488 0.762 0.762  0.14
Pt 0.512 0.238 0.238  0.14
Pt 0.750 0.500 0.500  0.31
Pt 0.250 0.500 0.500  0.31
Pt 0.012 0.238 0.238  0.14
Pt 0.988 0.762 0.762  0.14
Rh 0.128 0.555 0.189  0.89
Rh 0.628 0.189 0.555  0.89
Rh 0.872 0.445 0.811  0.89
Rh 0.372 0.811 0.445  0.89



2.
CuPt5Rh3: optimized geometry, PBE-GGA.

Summary:
- Formation energy: 0.376 eV per atom
- M_tot: 0.00 μB/f.u.
- Symmetry: I4/mcm (140)

Unit cell a=6.512 b=6.512 c=8.306 alpha=113.08 beta=113.08 gamma=90.00
Sites, in units of the cell vectors:
Cu 0.750 0.250 0.500
Cu 0.250 0.750 0.500
Pt 0.081 0.581 0.698
Pt 0.617 0.117 0.698
Pt 0.117 0.081 0.698
Pt 0.581 0.617 0.698
Pt 0.919 0.419 0.302
Pt 0.383 0.883 0.302
Pt 0.883 0.919 0.302
Pt 0.419 0.383 0.302
Pt 0.500 0.500 0.000
Pt 0.000 0.000 0.000
Rh 0.622 0.122 0.000
Rh 0.378 0.878 0.000
Rh 0.878 0.622 0.000
Rh 0.122 0.378 0.000
Rh 0.250 0.250 0.500
Rh 0.750 0.750 0.500



3.
Cu2PtRh: optimized geometry, PBE-GGA.

Summary:
- Formation energy: -0.017 eV per atom
- M_tot: 0.00 μB/f.u.
- Symmetry: Cm (8)

Unit cell a=4.655 b=4.655 c=4.596 alpha=79.78 beta=79.78 gamma=33.94
Sites, in units of the cell vectors:
Rh 0.250 0.250 0.253
Cu 0.001 0.001 0.991
Cu 0.749 0.749 0.759
Pt 0.500 0.500 0.496